A plane-wave DFT calculation with PBE was carried out for a geometry-optimized Hf4IrRh5 structure.

Computed properties:
- N(E_F) (states/eV/f.u.) = 4.19
- uncorrected energy (eV/atom) = -9.471

```
data_Hf4IrRh5
_chemical_formula_sum 'Hf8 Ir2 Rh10'
_symmetry_space_group_name_H-M 'C 1 2/m 1'
_symmetry_Int_Tables_number 12
_symmetry_space_group_name_Hall '-C 2y'
_cell_length_a 14.809
_cell_length_b 4.285
_cell_length_c 5.624
_cell_angle_alpha 90.00
_cell_angle_beta 110.83
_cell_angle_gamma 90.00
loop_
_atom_site_label
_atom_site_type_symbol
_atom_site_fract_x
_atom_site_fract_y
_atom_site_fract_z
Hf1 Hf 0.082 0.000 0.339
Hf2 Hf 0.197 0.500 0.125
Ir1 Ir 0.000 0.500 0.000
Rh1 Rh 0.000 0.500 0.500
Rh2 Rh 0.114 0.000 0.850
Rh3 Rh 0.205 0.500 0.619
```


A plane-wave DFT calculation with PBE was carried out for a geometry-optimized Hf2IrRh structure.

Computed properties:
- N(E_F) (states/eV/f.u.) = 1.94
- offset from the most stable computed form (meV/atom) = 507
- uncorrected energy (eV/atom) = -9.437

```
data_Hf2IrRh
_chemical_formula_sum 'Hf8 Ir4 Rh4'
_symmetry_space_group_name_H-M 'I -4 2 d'
_symmetry_Int_Tables_number 122
_symmetry_space_group_name_Hall 'I -4 2bw'
_cell_length_a 7.139
_cell_length_b 7.139
_cell_length_c 5.936
_cell_angle_alpha 90.00
_cell_angle_beta 90.00
_cell_angle_gamma 90.00
loop_
_atom_site_label
_atom_site_type_symbol
_atom_site_fract_x
_atom_site_fract_y
_atom_site_fract_z
Hf1 Hf 0.248 0.750 0.125
Ir1 Ir 0.000 0.000 0.500
Rh1 Rh 0.000 0.000 0.000
```


A plane-wave DFT calculation with PBE was carried out for a geometry-optimized HfIr2Rh2 structure.

Computed properties:
- N(E_F) (states/eV/f.u.) = 5.45
- offset from the most stable computed form (meV/atom) = 0
- uncorrected energy (eV/atom) = -8.699

```
data_HfIr2Rh2
_chemical_formula_sum 'Hf2 Ir4 Rh4'
_symmetry_space_group_name_H-M 'P 4/m b m'
_symmetry_Int_Tables_number 127
_symmetry_space_group_name_Hall '-P 4 2ab'
_cell_length_a 6.763
_cell_length_b 6.763
_cell_length_c 3.600
_cell_angle_alpha 90.00
_cell_angle_beta 90.00
_cell_angle_gamma 90.00
loop_
_atom_site_label
_atom_site_type_symbol
_atom_site_fract_x
_atom_site_fract_y
_atom_site_fract_z
Hf1 Hf 0.000 0.000 0.000
Ir1 Ir 0.132 0.368 0.000
Rh1 Rh 0.165 0.665 0.500
```


A plane-wave DFT calculation with PBE was carried out for a geometry-optimized Hf4IrRh7 structure.

Computed properties:
- N(E_F) (states/eV/f.u.) = 9.00
- uncorrected energy (eV/atom) = -8.917

```
data_Hf4IrRh7
_chemical_formula_sum 'Hf4 Ir1 Rh7'
_symmetry_space_group_name_H-M 'P -1'
_symmetry_Int_Tables_number 2
_symmetry_space_group_name_Hall '-P 1'
_cell_length_a 4.818
_cell_length_b 6.375
_cell_length_c 6.976
_cell_angle_alpha 72.46
_cell_angle_beta 89.46
_cell_angle_gamma 89.88
loop_
_atom_site_label
_atom_site_type_symbol
_atom_site_fract_x
_atom_site_fract_y
_atom_site_fract_z
Hf1 Hf 0.248 0.437 0.168
Hf2 Hf 0.249 0.916 0.218
Ir1 Ir 0.000 0.500 0.500
Rh1 Rh 0.249 0.117 0.500
Rh2 Rh 0.249 0.288 0.859
Rh3 Rh 0.254 0.803 0.857
Rh4 Rh 0.500 0.500 0.500
```


A plane-wave DFT calculation with PBE was carried out for a geometry-optimized Hf4Ir2Rh structure.

Computed properties:
- N(E_F) (states/eV/f.u.) = 3.91
- uncorrected energy (eV/atom) = -10.097

```
data_Hf4Ir2Rh
_chemical_formula_sum 'Hf12 Ir6 Rh3'
_symmetry_space_group_name_H-M 'R -3 m'
_symmetry_Int_Tables_number 166
_symmetry_space_group_name_Hall '-R 3 2"'
_cell_length_a 4.5844
_cell_length_b 4.5844
_cell_length_c 22.3231
_cell_angle_alpha 90.00
_cell_angle_beta 90.00
_cell_angle_gamma 120.00
loop_
_atom_site_label
_atom_site_type_symbol
_atom_site_fract_x
_atom_site_fract_y
_atom_site_fract_z
Hf1 Hf 0.0000 0.0000 0.1220
Hf2 Hf 0.0000 0.0000 0.3722
Ir1 Ir 0.0000 0.0000 0.2494
Rh1 Rh 0.0000 0.0000 0.5000
```


A plane-wave DFT calculation with PBE was carried out for a geometry-optimized Hf2Ir2Rh structure.

Computed properties:
- N(E_F) (states/eV/f.u.) = 5.00
- offset from the most stable computed form (meV/atom) = 371
- uncorrected energy (eV/atom) = -9.305

```
data_Hf2Ir2Rh
_chemical_formula_sum 'Hf4 Ir4 Rh2'
_symmetry_space_group_name_H-M 'I 4/m m m'
_symmetry_Int_Tables_number 139
_symmetry_space_group_name_Hall '-I 4 2'
_cell_length_a 3.660
_cell_length_b 3.660
_cell_length_c 14.226
_cell_angle_alpha 90.00
_cell_angle_beta 90.00
_cell_angle_gamma 90.00
loop_
_atom_site_label
_atom_site_type_symbol
_atom_site_fract_x
_atom_site_fract_y
_atom_site_fract_z
Hf1 Hf 0.000 0.000 0.108
Ir1 Ir 0.000 0.500 0.250
Rh1 Rh 0.000 0.000 0.500
```


A plane-wave DFT calculation with PBE was carried out for a geometry-optimized Hf2IrRh structure.

Computed properties:
- N(E_F) (states/eV/f.u.) = 4.29
- offset from the most stable computed form (meV/atom) = 6
- uncorrected energy (eV/atom) = -9.938

```
data_Hf2IrRh
_chemical_formula_sum 'Hf8 Ir4 Rh4'
_symmetry_space_group_name_H-M 'F m -3 m'
_symmetry_Int_Tables_number 225
_symmetry_space_group_name_Hall '-F 4 2 3'
_cell_length_a 6.550
_cell_length_b 6.550
_cell_length_c 6.550
_cell_angle_alpha 90.00
_cell_angle_beta 90.00
_cell_angle_gamma 90.00
loop_
_atom_site_label
_atom_site_type_symbol
_atom_site_fract_x
_atom_site_fract_y
_atom_site_fract_z
Hf1 Hf 0.250 0.250 0.250
Ir1 Ir 0.000 0.000 0.000
Rh1 Rh 0.000 0.000 0.500
```


A plane-wave DFT calculation with PBE was carried out for a geometry-optimized Hf6Ir5Rh structure.

Computed properties:
- N(E_F) (states/eV/f.u.) = 6.54
- uncorrected energy (eV/atom) = -10.193

```
data_Hf6Ir5Rh
_chemical_formula_sum 'Hf6 Ir5 Rh1'
_symmetry_space_group_name_H-M 'P 1 2/m 1'
_symmetry_Int_Tables_number 10
_symmetry_space_group_name_Hall '-P 2y'
_cell_length_a 4.617
_cell_length_b 6.634
_cell_length_c 7.072
_cell_angle_alpha 90.00
_cell_angle_beta 103.07
_cell_angle_gamma 90.00
loop_
_atom_site_label
_atom_site_type_symbol
_atom_site_fract_x
_atom_site_fract_y
_atom_site_fract_z
Hf1 Hf 0.000 0.250 0.000
Hf2 Hf 0.333 0.250 0.667
Ir1 Ir 0.165 0.000 0.330
Ir2 Ir 0.170 0.500 0.336
Ir3 Ir 0.500 0.500 0.000
Rh1 Rh 0.500 0.000 0.000
```